This record from Alexandria describes a geometry-optimized LiMo2Cl structure. The functional is GGA-PBEsol.

Cell: 3.135 3.865 6.062 Å, 109.73 105.75 90.02°
Sites, in units of the cell vectors:
Cl 0.000 0.000 0.000
Li 0.500 0.500 0.000
Mo 0.000 0.000 0.500
Mo 0.500 0.500 0.500

## Properties
Its raw formation energy is 404 meV/atom. Its final energy is -6.474 eV per atom. The value obtained for the volume is 16.6 Å³/atom.